No. 1
TmAgHg: optimized geometry, PBE.

```
TmAgHg
1.0
4.878 0.000 0.000
0.000 3.546 0.000
-1.543 0.000 4.888
Tm Ag Hg
1 1 1
direct
0.000 0.000 0.000 Tm
0.500 0.500 0.000 Ag
0.000 0.500 0.500 Hg
```

Results
E_tot = -2.5472 eV per atom
SG = P2/m, No. 10

=====

No. 2
Tm3AgHg2: optimized geometry, PBE.

```
Tm3AgHg2
1.0
3.648 0.000 0.000
0.000 3.648 0.000
0.000 0.000 10.920
Tm Ag Hg
3 1 2
direct
0.000 0.000 0.000 Tm
0.000 0.000 0.339 Tm
0.000 0.000 0.661 Tm
0.500 0.500 0.500 Ag
0.500 0.500 0.168 Hg
0.500 0.500 0.832 Hg
```

Results
polymorph energy (0 for the lowest one) = 6 meV/atom
SG = P4/mmm, No. 123